(1)
Computed, not measured: Cs2K2Cd3O5 at its PBEsol-relaxed geometry at the SCAN level of DFT.

Calculated values
As for the total magnetic moment: 0.00 μB/f.u. The calculation puts the electronic total energy at -460.29 eV/cell. The value obtained for the calculated volume is 482 Å³/cell. The calculation puts the density of states at the Fermi level at 0.0 states/eV per cell. Its formation energy from raw total energies is -1289 meV per atom.

```
data_Cs2K2Cd3O5
_cell_length_a 6.5660
_cell_length_b 9.1928
_cell_length_c 9.4084
_cell_angle_alpha 65.48
_cell_angle_beta 73.64
_cell_angle_gamma 71.43
_space_group_name_H-M_alt 'P -1'
_space_group_IT_number 2
_space_group_name_Hall '-P 1'
loop_
_atom_site_label
_atom_site_type_symbol
_atom_site_fract_x
_atom_site_fract_y
_atom_site_fract_z
Cs1 Cs 0.0531 0.0767 0.1498
Cs2 Cs 0.3918 0.2086 0.7477
K1 K 0.0536 0.4514 0.1945
K2 K 0.2419 0.0705 0.4764
Cd1 Cd 0.1254 0.6414 0.4061
Cd2 Cd 0.4022 0.6842 0.9950
Cd3 Cd 0.4314 0.6698 0.6713
O1 O 0.1060 0.7547 0.1529
O2 O 0.1849 0.7827 0.5174
O3 O 0.2316 0.3762 0.4601
O4 O 0.3167 0.4965 0.9076
O5 O 0.4252 0.8704 0.7567
```

=====

(2)
Computed, not measured: CsLaCdTe3 at its PBEsol-relaxed geometry at the SCAN level of DFT.

Calculated values
As for the total magnetic moment: 0.00 μB/f.u. The calculation puts the electronic total energy at -923.93 eV/cell. The value obtained for the calculated volume is 922 Å³/cell. The calculation puts the density of states at the Fermi level at 0.0 states/eV per cell. Its formation energy from raw total energies is -1316 meV per atom.

```
data_CsLaCdTe3
_cell_length_a 4.6016
_cell_length_b 16.6725
_cell_length_c 12.0192
_cell_angle_alpha 90.00
_cell_angle_beta 90.00
_cell_angle_gamma 90.00
_space_group_name_H-M_alt 'C m c m'
_space_group_IT_number 63
_space_group_name_Hall '-C 2c 2'
loop_
_atom_site_label
_atom_site_type_symbol
_atom_site_fract_x
_atom_site_fract_y
_atom_site_fract_z
Cs1 Cs 0.0000 0.2490 0.2500
La1 La 0.0000 0.5000 0.0000
Cd1 Cd 0.0000 0.0364 0.7500
Te1 Te 0.0000 0.1279 0.5550
Te2 Te 0.0000 0.4321 0.7500
```

=====

(3)
Computed, not measured: CsLi3Cd at its PBEsol-relaxed geometry at the SCAN level of DFT.

Calculated values
As for the total magnetic moment: 0.00 μB/f.u. The calculation puts the electronic total energy at -75.15 eV/cell. The value obtained for the calculated volume is 169 Å³/cell. The calculation puts the density of states at the Fermi level at 3.2 states/eV per cell. The value obtained for the formation enthalpy at 0 K is 0.049 eV per atom.

```
data_CsLi3Cd
_cell_length_a 5.5266
_cell_length_b 5.5266
_cell_length_c 5.5266
_cell_angle_alpha 90.00
_cell_angle_beta 90.00
_cell_angle_gamma 90.00
_space_group_name_H-M_alt 'P m -3 m'
_space_group_IT_number 221
_space_group_name_Hall '-P 4 2 3'
loop_
_atom_site_label
_atom_site_type_symbol
_atom_site_fract_x
_atom_site_fract_y
_atom_site_fract_z
Cs1 Cs 0.0000 0.0000 0.0000
Li1 Li 0.0000 0.5000 0.5000
Cd1 Cd 0.5000 0.5000 0.5000
```

=====

(4)
Computed, not measured: CsLuCdTe3 at its PBEsol-relaxed geometry at the SCAN level of DFT.

Calculated values
As for the total magnetic moment: 0.00 μB/f.u. The calculation puts the electronic total energy at -969.46 eV/cell. The value obtained for the calculated volume is 848 Å³/cell. The calculation puts the density of states at the Fermi level at 0.0 states/eV per cell. Its formation energy from raw total energies is -1174 meV per atom.

```
data_CsLuCdTe3
_cell_length_a 4.3969
_cell_length_b 16.7670
_cell_length_c 11.5074
_cell_angle_alpha 90.00
_cell_angle_beta 90.00
_cell_angle_gamma 90.00
_space_group_name_H-M_alt 'C m c m'
_space_group_IT_number 63
_space_group_name_Hall '-C 2c 2'
loop_
_atom_site_label
_atom_site_type_symbol
_atom_site_fract_x
_atom_site_fract_y
_atom_site_fract_z
Cs1 Cs 0.0000 0.2483 0.2500
Lu1 Lu 0.0000 0.0000 0.0000
Cd1 Cd 0.0000 0.4606 0.7500
Te1 Te 0.0000 0.0662 0.7500
Te2 Te 0.0000 0.3781 0.5415
```

=====

(5)
Computed, not measured: Cs3MgCd at its PBEsol-relaxed geometry at the SCAN level of DFT.

Calculated values
As for the total magnetic moment: 0.00 μB/f.u. The calculation puts the electronic total energy at -147.05 eV/cell. The value obtained for the calculated volume is 411 Å³/cell. The calculation puts the density of states at the Fermi level at 6.0 states/eV per cell. The value obtained for the formation enthalpy at 0 K is 0.355 eV per atom.

```
data_Cs3MgCd
_cell_length_a 7.4346
_cell_length_b 7.4346
_cell_length_c 7.4346
_cell_angle_alpha 90.00
_cell_angle_beta 90.00
_cell_angle_gamma 90.00
_space_group_name_H-M_alt 'P m -3 m'
_space_group_IT_number 221
_space_group_name_Hall '-P 4 2 3'
loop_
_atom_site_label
_atom_site_type_symbol
_atom_site_fract_x
_atom_site_fract_y
_atom_site_fract_z
Cs1 Cs 0.0000 0.0000 0.5000
Mg1 Mg 0.0000 0.0000 0.0000
Cd1 Cd 0.5000 0.5000 0.5000
```

=====

(6)
Computed, not measured: CsMgCdO2 at its PBEsol-relaxed geometry at the SCAN level of DFT.

Calculated values
As for the total magnetic moment: 0.00 μB/f.u. The calculation puts the electronic total energy at -83.19 eV/cell. The value obtained for the calculated volume is 123 Å³/cell. The calculation puts the density of states at the Fermi level at 1.9 states/eV per cell. Its formation energy from raw total energies is 495 meV per atom.

```
data_CsMgCdO2
_cell_length_a 4.3956
_cell_length_b 4.3956
_cell_length_c 6.3754
_cell_angle_alpha 90.00
_cell_angle_beta 90.00
_cell_angle_gamma 90.00
_space_group_name_H-M_alt 'P 4/m m m'
_space_group_IT_number 123
_space_group_name_Hall '-P 4 2'
loop_
_atom_site_label
_atom_site_type_symbol
_atom_site_fract_x
_atom_site_fract_y
_atom_site_fract_z
Cs1 Cs 0.0000 0.0000 0.0000
Mg1 Mg 0.5000 0.5000 0.5000
Cd1 Cd 0.0000 0.0000 0.5000
O1 O 0.0000 0.5000 0.0000
```

=====

(7)
Computed, not measured: Cs3MnCd at its PBEsol-relaxed geometry at the SCAN level of DFT.

Calculated values
As for the total magnetic moment: 5.47 μB/f.u. The calculation puts the electronic total energy at -159.60 eV/cell. The value obtained for the calculated volume is 352 Å³/cell. The calculation puts the density of states at the Fermi level at 4.6 states/eV per cell. The value obtained for the formation enthalpy at 0 K is 0.500 eV per atom.

```
data_Cs3MnCd
_cell_length_a 7.0604
_cell_length_b 7.0604
_cell_length_c 7.0604
_cell_angle_alpha 90.00
_cell_angle_beta 90.00
_cell_angle_gamma 90.00
_space_group_name_H-M_alt 'P m -3 m'
_space_group_IT_number 221
_space_group_name_Hall '-P 4 2 3'
loop_
_atom_site_label
_atom_site_type_symbol
_atom_site_fract_x
_atom_site_fract_y
_atom_site_fract_z
Cs1 Cs 0.0000 0.0000 0.5000
Mn1 Mn 0.5000 0.5000 0.5000
Cd1 Cd 0.0000 0.0000 0.0000
```

=====

(8)
Computed, not measured: CsTa2CdMo at its PBEsol-relaxed geometry at the SCAN level of DFT.

Calculated values
As for the total magnetic moment: 0.72 μB/f.u. The calculation puts the electronic total energy at -229.57 eV/cell. The value obtained for the calculated volume is 134 Å³/cell. The calculation puts the density of states at the Fermi level at 3.7 states/eV per cell. The value obtained for the formation enthalpy at 0 K is 1.341 eV per atom.

```
data_CsTa2CdMo
_cell_length_a 4.8659
_cell_length_b 4.8659
_cell_length_c 5.6597
_cell_angle_alpha 90.00
_cell_angle_beta 90.00
_cell_angle_gamma 90.00
_space_group_name_H-M_alt 'P 4/m m m'
_space_group_IT_number 123
_space_group_name_Hall '-P 4 2'
loop_
_atom_site_label
_atom_site_type_symbol
_atom_site_fract_x
_atom_site_fract_y
_atom_site_fract_z
Cs1 Cs 0.0000 0.0000 0.0000
Ta1 Ta 0.0000 0.5000 0.5000
Cd1 Cd 0.5000 0.5000 0.0000
Mo1 Mo 0.5000 0.5000 0.5000
```

=====

(9)
Computed, not measured: Cs2TiCdMo at its PBEsol-relaxed geometry at the SCAN level of DFT.

Calculated values
As for the total magnetic moment: 0.71 μB/f.u. The calculation puts the electronic total energy at -150.74 eV/cell. The value obtained for the calculated volume is 205 Å³/cell. The calculation puts the density of states at the Fermi level at 5.4 states/eV per cell. The value obtained for the formation enthalpy at 0 K is 1.241 eV per atom.

```
data_Cs2TiCdMo
_cell_length_a 6.8346
_cell_length_b 6.8346
_cell_length_c 4.3975
_cell_angle_alpha 90.00
_cell_angle_beta 90.00
_cell_angle_gamma 90.00
_space_group_name_H-M_alt 'P 4/m m m'
_space_group_IT_number 123
_space_group_name_Hall '-P 4 2'
loop_
_atom_site_label
_atom_site_type_symbol
_atom_site_fract_x
_atom_site_fract_y
_atom_site_fract_z
Cs1 Cs 0.0000 0.5000 0.0000
Ti1 Ti 0.0000 0.0000 0.0000
Cd1 Cd 0.5000 0.5000 0.5000
Mo1 Mo 0.0000 0.0000 0.5000
```

=====

(10)
Computed, not measured: CsCdTeN2 at its PBEsol-relaxed geometry at the SCAN level of DFT.

Calculated values
As for the total magnetic moment: 2.16 μB/f.u. The calculation puts the electronic total energy at -113.78 eV/cell. The value obtained for the calculated volume is 140 Å³/cell. The calculation puts the density of states at the Fermi level at 2.9 states/eV per cell. Its formation energy from raw total energies is 2056 meV per atom.

```
data_CsCdTeN2
_cell_length_a 4.3483
_cell_length_b 4.3483
_cell_length_c 7.3940
_cell_angle_alpha 90.00
_cell_angle_beta 90.00
_cell_angle_gamma 90.00
_space_group_name_H-M_alt 'P 4/m m m'
_space_group_IT_number 123
_space_group_name_Hall '-P 4 2'
loop_
_atom_site_label
_atom_site_type_symbol
_atom_site_fract_x
_atom_site_fract_y
_atom_site_fract_z
Cs1 Cs 0.0000 0.0000 0.0000
Cd1 Cd 0.5000 0.5000 0.5000
Te1 Te 0.0000 0.0000 0.5000
N1 N 0.0000 0.5000 0.0000
```